No. 1
Crystalline HfMg2Zr at its relaxed geometry. Source: the Alexandria database, functional PBE.

Lattice parameters (Å, degrees): 6.374 6.374 6.374 101.11 101.11 127.92
Fractional coordinates of all 8 atoms:
Hf: 0.000 0.000 0.000
Hf: 0.750 0.250 0.500
Mg: 0.125 0.625 0.000
Mg: 0.375 0.375 0.500
Mg: 0.625 0.125 0.000
Mg: 0.875 0.875 0.500
Zr: 0.250 0.750 0.500
Zr: 0.500 0.500 0.000

Properties
Formation energy (eV/f.u.): 2.123


No. 2
Crystalline HfMgZr at its relaxed geometry. Source: the Alexandria database, functional PBE.

Lattice parameters (Å, degrees): 3.172 3.172 13.473 90.00 90.00 90.00
Fractional coordinates of all 6 atoms:
Hf: 0.250 0.250 0.081
Hf: 0.750 0.750 0.919
Mg: 0.250 0.250 0.419
Mg: 0.750 0.750 0.581
Zr: 0.250 0.250 0.753
Zr: 0.750 0.750 0.247

Properties
Distance to the lowest polymorph of the same formula (eV/f.u.): 0.00
Formation energy (eV/f.u.): -0.026


No. 3
Crystalline HfMg3Zr3 at its relaxed geometry. Source: the Alexandria database, functional PBE.

Lattice parameters (Å, degrees): 8.530 8.530 5.007 90.00 90.00 120.00
Fractional coordinates of all 14 atoms:
Hf: 0.333 0.667 0.250
Hf: 0.667 0.333 0.750
Mg: 0.048 0.810 0.250
Mg: 0.190 0.238 0.250
Mg: 0.238 0.048 0.750
Mg: 0.762 0.952 0.250
Mg: 0.810 0.762 0.750
Mg: 0.952 0.190 0.750
Zr: 0.099 0.624 0.750
Zr: 0.376 0.475 0.750
Zr: 0.475 0.099 0.250
Zr: 0.525 0.901 0.750
Zr: 0.624 0.525 0.250
Zr: 0.901 0.376 0.250

Properties
Formation energy (eV/f.u.): 0.114


No. 4
Crystalline HfMgZr at its relaxed geometry. Source: the Alexandria database, functional PBE.

Lattice parameters (Å, degrees): 7.590 7.590 4.368 90.00 90.00 146.74
Fractional coordinates of all 6 atoms:
Hf: 0.075 0.925 0.750
Hf: 0.925 0.075 0.250
Mg: 0.250 0.750 0.250
Mg: 0.750 0.250 0.750
Zr: 0.424 0.576 0.750
Zr: 0.576 0.424 0.250

Properties
Distance to the lowest polymorph of the same formula (eV/f.u.): 0.03
Formation energy (eV/f.u.): 0.004


Number 1: spin magnetization 0.0 μB per cell, uncorrected energy -4.892 eV per atom. Number 2: spin magnetization 0.0 μB per cell, uncorrected energy -6.707 eV per atom. Number 3: spin magnetization 0.0 μB per cell, uncorrected energy -5.752 eV per atom. Number 4: spin magnetization 0.0 μB per cell, uncorrected energy -6.698 eV per atom.